Entry 1:
# La2YAl2

A geometry-optimized La2YAl2 structure (PBE-GGA, the Alexandria database).

Geometry as CIF:
```
data_La2YAl2
_symmetry_space_group_name_H-M 'I m m m'
_symmetry_Int_Tables_number 71
_symmetry_space_group_name_Hall '-I 2 2'
_cell_length_a 5.051
_cell_length_b 6.952
_cell_length_c 8.086
_cell_angle_alpha 90.00
_cell_angle_beta 90.00
_cell_angle_gamma 90.00
loop_
_atom_site_label
_atom_site_type_symbol
_atom_site_fract_x
_atom_site_fract_y
_atom_site_fract_z
La1 La 0.000 0.000 0.194
Y1 Y 0.000 0.500 0.000
Al1 Al 0.000 0.302 0.500
```

Values from the calculation:
Formation enthalpy at 0 K in eV per atom: -0.311

---

Entry 2:
# LaY2Al

A geometry-optimized LaY2Al structure (PBE-GGA, the Alexandria database).

Geometry as CIF:
```
data_LaY2Al
_symmetry_space_group_name_H-M 'I 4/m m m'
_symmetry_Int_Tables_number 139
_symmetry_space_group_name_Hall '-I 4 2'
_cell_length_a 4.817
_cell_length_b 4.817
_cell_length_c 9.891
_cell_angle_alpha 90.00
_cell_angle_beta 90.00
_cell_angle_gamma 90.00
loop_
_atom_site_label
_atom_site_type_symbol
_atom_site_fract_x
_atom_site_fract_y
_atom_site_fract_z
La1 La 0.000 0.000 0.000
Y1 Y 0.000 0.500 0.250
Al1 Al 0.000 0.000 0.500
```

Values from the calculation:
Formation enthalpy at 0 K in eV per atom: -0.099

---

Entry 3:
# LaYAl2

A geometry-optimized LaYAl2 structure (PBE-GGA, the Alexandria database).

Geometry as CIF:
```
data_LaYAl2
_symmetry_space_group_name_H-M 'F -4 3 m'
_symmetry_Int_Tables_number 216
_symmetry_space_group_name_Hall 'F -4 2 3'
_cell_length_a 7.318
_cell_length_b 7.318
_cell_length_c 7.318
_cell_angle_alpha 90.00
_cell_angle_beta 90.00
_cell_angle_gamma 90.00
loop_
_atom_site_label
_atom_site_type_symbol
_atom_site_fract_x
_atom_site_fract_y
_atom_site_fract_z
La1 La 0.000 0.000 0.000
Y1 Y 0.250 0.250 0.750
Al1 Al 0.000 0.000 0.500
Al2 Al 0.250 0.250 0.250
```

Values from the calculation:
Formation enthalpy at 0 K in eV per atom: 0.068

---

Entry 4:
# LaY2Al2Zn2

A geometry-optimized LaY2Al2Zn2 structure (PBE-GGA, the Alexandria database).

Geometry as CIF:
```
data_LaY2Al2Zn2
_symmetry_space_group_name_H-M 'R -3 m'
_symmetry_Int_Tables_number 166
_symmetry_space_group_name_Hall '-R 3 2"'
_cell_length_a 4.5445
_cell_length_b 4.5445
_cell_length_c 28.4981
_cell_angle_alpha 90.00
_cell_angle_beta 90.00
_cell_angle_gamma 120.00
loop_
_atom_site_label
_atom_site_type_symbol
_atom_site_fract_x
_atom_site_fract_y
_atom_site_fract_z
La1 La 0.0000 0.0000 0.0000
Y1 Y 0.0000 0.0000 0.1293
Al1 Al 0.0000 0.0000 0.2576
Zn1 Zn 0.0000 0.0000 0.4066
```

Values from the calculation:
Formation enthalpy at 0 K in eV per atom: -0.327

---

Entry 5:
# LaYAlZn

A geometry-optimized LaYAlZn structure (PBE-GGA, the Alexandria database).

Geometry as CIF:
```
data_LaYAlZn
_symmetry_space_group_name_H-M 'F -4 3 m'
_symmetry_Int_Tables_number 216
_symmetry_space_group_name_Hall 'F -4 2 3'
_cell_length_a 7.411
_cell_length_b 7.411
_cell_length_c 7.411
_cell_angle_alpha 90.00
_cell_angle_beta 90.00
_cell_angle_gamma 90.00
loop_
_atom_site_label
_atom_site_type_symbol
_atom_site_fract_x
_atom_site_fract_y
_atom_site_fract_z
La1 La 0.000 0.000 0.000
Y1 Y 0.000 0.000 0.500
Al1 Al 0.250 0.250 0.750
Zn1 Zn 0.250 0.250 0.250
```

Values from the calculation:
Formation enthalpy at 0 K in eV per atom: -0.354

---

Entry 6:
# LaYbAl4

A geometry-optimized LaYbAl4 structure (PBE-GGA, the Alexandria database).

Geometry as CIF:
```
data_LaYbAl4
_symmetry_space_group_name_H-M 'F -4 3 m'
_symmetry_Int_Tables_number 216
_symmetry_space_group_name_Hall 'F -4 2 3'
_cell_length_a 8.023
_cell_length_b 8.023
_cell_length_c 8.023
_cell_angle_alpha 90.00
_cell_angle_beta 90.00
_cell_angle_gamma 90.00
loop_
_atom_site_label
_atom_site_type_symbol
_atom_site_fract_x
_atom_site_fract_y
_atom_site_fract_z
La1 La 0.000 0.000 0.000
Yb1 Yb 0.250 0.250 0.750
Al1 Al 0.125 0.125 0.375
```

Values from the calculation:
Formation enthalpy at 0 K in eV per atom: -0.465